Entry 1:
BaAgGe2Pd: relaxed, PBE.

Computed properties:
The calculated volume is 112.9 Å³/f.u. The calculation puts the density of states at the Fermi level at 2.776 states/eV/f.u. As for the electronic total energy: -4.302 eV per atom.

Geometry as extended XYZ:
```
10
Lattice="4.637 0.000 0.000 0.000 4.637 0.000 0.000 0.000 10.497" Properties=species:S:1:pos:R:3 pbc="T T T"
Ba 0.000 0.000 0.000
Ba 2.319 2.319 5.248
Ag 0.000 2.319 7.873
Ag 2.319 0.000 2.624
Ge 0.000 0.000 3.922
Ge 0.000 0.000 6.575
Ge 2.319 2.319 1.327
Ge 2.319 2.319 9.170
Pd 0.000 2.319 2.624
Pd 2.319 0.000 7.873
```

=====

Entry 2:
BaPmAgGe: relaxed, PBE.

Computed properties:
The calculated volume is 116.2 Å³/f.u. The calculation puts the density of states at the Fermi level at 1.426 states/eV/f.u. As for the electronic total energy: -3.892 eV per atom.

Geometry as extended XYZ:
```
16
Lattice="7.746 0.000 0.000 0.000 7.746 0.000 0.000 0.000 7.746" Properties=species:S:1:pos:R:3 pbc="T T T"
Ba 0.000 0.000 0.000
Ba 0.000 3.873 3.873
Ba 3.873 0.000 3.873
Ba 3.873 3.873 0.000
Pm 0.000 0.000 3.873
Pm 0.000 3.873 0.000
Pm 3.873 0.000 0.000
Pm 3.873 3.873 3.873
Ag 1.936 1.936 1.936
Ag 1.936 5.809 5.809
Ag 5.809 1.936 5.809
Ag 5.809 5.809 1.936
Ge 1.936 1.936 5.809
Ge 1.936 5.809 1.936
Ge 5.809 1.936 1.936
Ge 5.809 5.809 5.809
```

=====

Entry 3:
BaPrAgGe: relaxed, PBE.

Computed properties:
The calculated volume is 118.7 Å³/f.u. The calculation puts the density of states at the Fermi level at 1.425 states/eV/f.u. As for the electronic total energy: -3.910 eV per atom.

Geometry as extended XYZ:
```
16
Lattice="7.800 0.000 0.000 0.000 7.800 0.000 0.000 0.000 7.800" Properties=species:S:1:pos:R:3 pbc="T T T"
Ba 0.000 0.000 0.000
Ba 0.000 3.900 3.900
Ba 3.900 0.000 3.900
Ba 3.900 3.900 0.000
Pr 0.000 0.000 3.900
Pr 0.000 3.900 0.000
Pr 3.900 0.000 0.000
Pr 3.900 3.900 3.900
Ag 1.950 1.950 1.950
Ag 1.950 5.850 5.850
Ag 5.850 1.950 5.850
Ag 5.850 5.850 1.950
Ge 1.950 1.950 5.850
Ge 1.950 5.850 1.950
Ge 5.850 1.950 1.950
Ge 5.850 5.850 5.850
```

=====

Which value of calculated volume does entry 3 give?
118.7 Å³/f.u.

=====

Which of these has the lowest calculated volume?
BaAgGe2Pd